First-principles (PBEsol) data for crystalline LiHf2Si2 at its relaxed geometry, as listed in Alexandria via LeMat-Bulk. Values from VASP.

Cell and atoms, written as Quantum ESPRESSO input:
```
&SYSTEM
  ibrav = 0, nat = 5, ntyp = 3
/
ATOMIC_SPECIES
Li 6.94 Li.upf
Hf 178.49 Hf.upf
Si 28.09 Si.upf
ATOMIC_POSITIONS crystal
Li 0.000 0.000 0.000
Hf 0.250 0.750 0.500
Si 0.607 0.607 0.214
Hf 0.750 0.250 0.500
Si 0.393 0.393 0.786
CELL_PARAMETERS angstrom
4.322 0.000 0.000
0.000 4.322 0.000
-2.161 -2.161 5.520
```

Properties
DOS(E_F) = 4.157 states/eV/f.u.
uncorrected energy = -6.9676 eV/atom


First-principles (PBEsol) data for crystalline YZr2W at its relaxed geometry, as listed in Alexandria via LeMat-Bulk. Values from VASP.

Cell and atoms, written as Quantum ESPRESSO input:
```
&SYSTEM
  ibrav = 0, nat = 4, ntyp = 3
/
ATOMIC_SPECIES
Y 88.91 Y.upf
W 183.84 W.upf
Zr 91.22 Zr.upf
ATOMIC_POSITIONS crystal
Y 0.250 0.750 0.500
W 0.500 0.500 0.000
Zr 0.000 0.000 0.000
Zr 0.750 0.250 0.500
CELL_PARAMETERS angstrom
-1.203 5.034 -0.641
-1.602 0.248 4.957
4.245 -1.849 -1.279
```

Properties
DOS(E_F) = 4.915 states/eV/f.u.
ΔH_f (0 K) = 37.5 kJ/mol of atoms
uncorrected energy = -9.3137 eV/atom
offset from the most stable computed form = 147 meV/atom


First-principles (PBEsol) data for crystalline TaAgSe2 at its relaxed geometry, as listed in Alexandria via LeMat-Bulk. Values from VASP.

Cell and atoms, written as Quantum ESPRESSO input:
```
&SYSTEM
  ibrav = 0, nat = 4, ntyp = 3
/
ATOMIC_SPECIES
Se 78.96 Se.upf
Ag 107.87 Ag.upf
Ta 180.95 Ta.upf
ATOMIC_POSITIONS crystal
Se 0.031 0.888 0.061
Se 0.807 0.369 0.614
Ag 0.217 0.861 0.434
Ta 0.445 0.382 0.890
CELL_PARAMETERS angstrom
3.345 0.000 0.000
0.000 3.479 -0.002
-1.673 -0.089 6.883
```

Properties
DOS(E_F) = 1.251 states/eV/f.u.
uncorrected energy = -6.1326 eV/atom


Number 1: size of the total moment 0.00 μB per atom. Number 2: size of the total moment 0.00 μB per atom. Number 3: size of the total moment 0.00 μB per atom.